The following is a DFT calculation (GGA+U) of an optimized crystal structure of CoAgB2F8.

a = 5.2072 Å, b = 5.2072 Å, c = 7.1323 Å
α = 90.00°, β = 90.00°, γ = 120.00°
Positions (direct):
Co: 0.0000 0.0000 0.0000
Ag: 0.0000 0.0000 0.5000
B: 0.3333 0.6667 0.7218
B: 0.6667 0.3333 0.2782
F: 0.1845 0.3691 0.7883
F: 0.1845 0.8155 0.7883
F: 0.6309 0.8155 0.7883
F: 0.3691 0.1845 0.2117
F: 0.6667 0.3333 0.4747
F: 0.3333 0.6667 0.5253
F: 0.8155 0.6309 0.2117
F: 0.8155 0.1845 0.2117

Summary:
VASP energy	-63.178	eV for the cell shown
SG	No. 164
spin magnetization	0.168	μB/atom